Record 1
A plane-wave DFT calculation with PBE was carried out for a relaxed structure of In2TeAsH.

a b c (Å): 5.5086 5.5086 3.8503
angles (deg): 90.00 90.00 90.00
Element x y z (fractional)
In 0.0000 0.5000 0.0000
In 0.5000 0.0000 0.0000
Te 0.0000 0.0000 0.5000
As 0.5000 0.5000 0.0000
H 0.5000 0.5000 0.5000

Computed properties:
The magnetization is 0.000 μB per formula unit. The value obtained for the calculated volume is 117 Å³/cell. The value obtained for the total energy is -0.2413 Ry/atom.

Record 2
A plane-wave DFT calculation with PBE was carried out for a relaxed structure of SrPmIrAu.

a b c (Å): 5.1485 5.1485 5.1485
angles (deg): 60.00 60.00 60.00
Element x y z (fractional)
Sr 0.0000 0.0000 0.0000
Pm 0.5000 0.5000 0.5000
Ir 0.7500 0.7500 0.7500
Au 0.2500 0.2500 0.2500

Computed properties:
The magnetization is 0.000 μB per formula unit. The value obtained for the calculated volume is 97 Å³/cell. The value obtained for the total energy is -0.3786 Ry/atom.

Record 3
A plane-wave DFT calculation with PBE was carried out for a relaxed structure of Mn4IrN4.

a b c (Å): 5.4140 5.6485 6.9059
angles (deg): 92.00 103.90 117.10
Element x y z (fractional)
Mn 0.0453 0.3327 0.0910
Mn 0.2758 0.5825 0.4830
Mn 0.3032 0.0425 0.7214
Mn 0.4065 0.6514 0.9212
Mn 0.5935 0.3486 0.0788
Mn 0.6968 0.9575 0.2786
Mn 0.7242 0.4175 0.5170
Mn 0.9547 0.6673 0.9090
Ir 0.2143 0.0063 0.2768
Ir 0.7857 0.9937 0.7232
N 0.1304 0.6589 0.6953
N 0.2233 0.2716 0.8895
N 0.2705 0.7131 0.1378
N 0.3283 0.2628 0.5202
N 0.6717 0.7372 0.4798
N 0.7295 0.2869 0.8622
N 0.7767 0.7284 0.1105
N 0.8696 0.3411 0.3047

Computed properties:
The magnetization is 3.567 μB per formula unit. The value obtained for the calculated volume is 180 Å³/cell. The value obtained for the total energy is -0.6456 Ry/atom.

Record 4
A plane-wave DFT calculation with PBE was carried out for a relaxed structure of AgPRh2.

a b c (Å): 4.5706 4.5706 2.8852
angles (deg): 94.33 94.33 103.36
Element x y z (fractional)
Ag 0.0000 0.0000 0.0000
P 0.5000 0.5000 0.0000
Rh 0.0000 0.5000 0.5000
Rh 0.5000 0.0000 0.5000

Computed properties:
The magnetization is 0.000 μB per formula unit. The value obtained for the calculated volume is 58 Å³/cell. The value obtained for the total energy is -0.4094 Ry/atom.

Record 5
A plane-wave DFT calculation with PBE was carried out for a relaxed structure of Dy2Ho2In3.

a b c (Å): 16.0995 16.0995 3.4937
angles (deg): 90.00 90.00 167.62
Element x y z (fractional)
Dy 0.0677 0.9323 0.0000
Dy 0.9323 0.0677 0.0000
Ho 0.2015 0.7985 0.0000
Ho 0.7985 0.2015 0.0000
In 0.3642 0.6358 0.5000
In 0.5000 0.5000 0.5000
In 0.6358 0.3642 0.5000

Computed properties:
The magnetization is 0.361 μB per formula unit. The value obtained for the calculated volume is 194 Å³/cell. The value obtained for the total energy is -0.3031 Ry/atom.

Record 6
A plane-wave DFT calculation with PBE was carried out for a relaxed structure of KTePtI2.

a b c (Å): 5.7900 5.7900 5.2540
angles (deg): 90.00 90.00 90.00
Element x y z (fractional)
K 0.0000 0.0000 0.0000
Te 0.5000 0.5000 0.0000
Pt 0.5000 0.5000 0.5000
I 0.0000 0.5000 0.5000
I 0.5000 0.0000 0.5000

Computed properties:
The magnetization is 0.934 μB per formula unit. The value obtained for the calculated volume is 176 Å³/cell. The value obtained for the total energy is -0.2265 Ry/atom.

Record 7
A plane-wave DFT calculation with PBE was carried out for a relaxed structure of TlIr5.

a b c (Å): 6.3633 6.3633 3.9462
angles (deg): 90.00 90.00 143.70
Element x y z (fractional)
Tl 0.0000 0.0000 0.0000
Ir 0.1746 0.8254 0.5000
Ir 0.3243 0.6757 0.0000
Ir 0.5000 0.5000 0.5000
Ir 0.6757 0.3243 0.0000
Ir 0.8254 0.1746 0.5000

Computed properties:
The magnetization is 0.000 μB per formula unit. The value obtained for the calculated volume is 95 Å³/cell. The value obtained for the total energy is -0.5465 Ry/atom.

Record 8
A plane-wave DFT calculation with PBE was carried out for a relaxed structure of Zr2BiPd2.

a b c (Å): 7.8141 7.8141 3.3807
angles (deg): 90.00 90.00 90.00
Element x y z (fractional)
Zr 0.1647 0.3353 0.0000
Zr 0.3353 0.8353 0.0000
Zr 0.6647 0.1647 0.0000
Zr 0.8353 0.6647 0.0000
Bi 0.0000 0.0000 0.5000
Bi 0.5000 0.5000 0.5000
Pd 0.1265 0.6265 0.5000
Pd 0.3735 0.1265 0.5000
Pd 0.6265 0.8735 0.5000
Pd 0.8735 0.3735 0.5000

Computed properties:
The magnetization is 0.000 μB per formula unit. The value obtained for the calculated volume is 206 Å³/cell. The value obtained for the total energy is -0.5003 Ry/atom.

Please write out number 1 again, unchanged.
A plane-wave DFT calculation with PBE was carried out for a relaxed structure of In2TeAsH.

a b c (Å): 5.5086 5.5086 3.8503
angles (deg): 90.00 90.00 90.00
Element x y z (fractional)
In 0.0000 0.5000 0.0000
In 0.5000 0.0000 0.0000
Te 0.0000 0.0000 0.5000
As 0.5000 0.5000 0.0000
H 0.5000 0.5000 0.5000

Computed properties:
The magnetization is 0.000 μB per formula unit. The value obtained for the calculated volume is 117 Å³/cell. The value obtained for the total energy is -0.2413 Ry/atom.

Which formula does entry 6 have? KTePtI2